{
  "formula": "CuSbTe2Br",
  "functional": "GGA-PBE",
  "state": "relaxed",
  "lattice_angstrom": [[5.664, 0.000, 0.000], [0.000, 5.664, 0.000], [0.000, 0.000, 5.513]],
  "species": ["Br", "Sb", "Cu", "Te", "Te"],
  "fractional_positions": [[0.000, 0.000, 0.000], [0.000, 0.000, 0.500], [0.500, 0.500, 0.500], [0.000, 0.500, 0.000], [0.500, 0.000, 0.000]],
  "polymorph_energy_mev_per_atom": 841,
  "space_group": "P4/mmm",
  "total_magnetization_mub_per_atom": 0.339,
  "formation_energy_uncorrected_ev_per_fu": 5.976
}


{
  "formula": "Re2TeAs",
  "functional": "GGA-PBE",
  "state": "relaxed",
  "lattice_angstrom": [[5.493, 0.004, 0.002], [2.482, 4.901, -0.002], [-3.347, -3.493, 2.602]],
  "species": ["Re", "Re", "Te", "As"],
  "fractional_positions": [[0.463, 0.463, 0.000], [0.037, 0.037, 0.000], [0.750, 0.250, 0.500], [0.250, 0.750, 0.500]],
  "polymorph_energy_mev_per_atom": 696,
  "space_group": "Immm",
  "total_magnetization_mub_per_atom": 0.000,
  "formation_energy_uncorrected_ev_per_fu": 3.765
}